[1]
GGA-PBE ZnMo4Ir5, relaxed; theoretical density = 15722 kg/m3; E_tot = -91.9 eV per formula unit; total magnetic moment = 0.000 μB/f.u.
1.0
2.7902 0.0000 0.0000
0.0000 2.7902 0.0000
0.0000 0.0000 19.1327
Zn Mo Ir
1 4 5
Cartesian
0.0000 0.0000 0.0000
0.0000 0.0000 3.6866
0.0000 0.0000 7.6049
0.0000 0.0000 11.5278
0.0000 0.0000 15.4461
1.3951 1.3951 1.8582
1.3951 1.3951 5.6731
1.3951 1.3951 9.5664
1.3951 1.3951 13.4596
1.3951 1.3951 17.2745

***

[2]
GGA-PBE SmTc3C, relaxed; theoretical density = 9868 kg/m3; E_tot = -44.3 eV per formula unit; total magnetic moment = 1.895 μB/f.u.
1.0
4.2506 0.0000 0.0000
0.0000 4.2506 0.0000
0.0000 0.0000 4.2506
Sm Tc C
1 3 1
Cartesian
0.0000 0.0000 0.0000
0.0000 2.1253 2.1253
2.1253 0.0000 2.1253
2.1253 2.1253 0.0000
2.1253 2.1253 2.1253

***

> Which formula does entry 1 have?

ZnMo4Ir5

***

> Which of these has the highest E_tot?

SmTc3C

***

> What is the theoretical density in the first record?

15722 kg/m3